Entry 1:
The following is a DFT calculation (PBE-GGA) of a relaxed YHo2Co9 crystal.

Computed properties:
Density of states at the Fermi level: 16.4 states/eV/f.u.
Space-group type: R-3m, No. 166
E_tot: -81.79 eV per cell
Calculated formation energy: -2.22 eV per formula unit

Structure (CIF):
```
data_YHo2Co9
_cell_length_a 8.5869
_cell_length_b 8.5869
_cell_length_c 8.5869
_cell_angle_alpha 33.69
_cell_angle_beta 33.69
_cell_angle_gamma 33.69
_symmetry_space_group_name_H-M 'P 1'
_symmetry_Int_Tables_number 1
_symmetry_space_group_name_Hall 'P 1'
loop_
_atom_site_label
_atom_site_type_symbol
_atom_site_fract_x
_atom_site_fract_y
_atom_site_fract_z
Y1 Y 0.0000 0.0000 0.0000
Ho1 Ho 0.1399 0.1399 0.1399
Ho2 Ho 0.8601 0.8601 0.8601
Co1 Co 0.0784 0.5831 0.5831
Co2 Co 0.3349 0.3349 0.3349
Co3 Co 0.4169 0.4169 0.9216
Co4 Co 0.4169 0.9216 0.4169
Co5 Co 0.5000 0.5000 0.5000
Co6 Co 0.5831 0.0784 0.5831
Co7 Co 0.5831 0.5831 0.0784
Co8 Co 0.6651 0.6651 0.6651
Co9 Co 0.9216 0.4169 0.4169
```

***

Entry 2:
The following is a DFT calculation (PBE-GGA) of a relaxed YHoCo2 crystal.

Computed properties:
Density of states at the Fermi level: 0.9 states/eV/f.u.
Space-group type: Fm-3m, No. 225
Polymorph energy (0 for the lowest one): 66 meV per atom
E_tot: -25.83 eV per cell
Calculated formation energy: -0.57 eV per formula unit

Structure (CIF):
```
data_YHoCo2
_cell_length_a 4.7193
_cell_length_b 4.7193
_cell_length_c 4.7193
_cell_angle_alpha 60.00
_cell_angle_beta 60.00
_cell_angle_gamma 60.00
_symmetry_space_group_name_H-M 'P 1'
_symmetry_Int_Tables_number 1
_symmetry_space_group_name_Hall 'P 1'
loop_
_atom_site_label
_atom_site_type_symbol
_atom_site_fract_x
_atom_site_fract_y
_atom_site_fract_z
Y1 Y 0.0000 0.0000 0.0000
Ho1 Ho 0.5000 0.5000 0.5000
Co1 Co 0.2500 0.2500 0.2500
Co2 Co 0.7500 0.7500 0.7500
```

***

Entry 3:
The following is a DFT calculation (PBE-GGA) of a relaxed Y2Ho5Co2 crystal.

Computed properties:
Density of states at the Fermi level: 10.4 states/eV/f.u.
Space-group type: Cmce, No. 64
E_tot: -101.34 eV per cell
Calculated formation energy: -0.64 eV per formula unit

Structure (CIF):
```
data_Y2Ho5Co2
_cell_length_a 10.3777
_cell_length_b 10.3777
_cell_length_c 6.9764
_cell_angle_alpha 90.00
_cell_angle_beta 90.00
_cell_angle_gamma 39.61
_symmetry_space_group_name_H-M 'P 1'
_symmetry_Int_Tables_number 1
_symmetry_space_group_name_Hall 'P 1'
loop_
_atom_site_label
_atom_site_type_symbol
_atom_site_fract_x
_atom_site_fract_y
_atom_site_fract_z
Y1 Y 0.2318 0.2318 0.0000
Y2 Y 0.2682 0.2682 0.5000
Y3 Y 0.7318 0.7318 0.5000
Y4 Y 0.7682 0.7682 0.0000
Ho1 Ho 0.0000 0.0000 0.0000
Ho2 Ho 0.0748 0.7139 0.6774
Ho3 Ho 0.2139 0.5748 0.1774
Ho4 Ho 0.2861 0.9252 0.6774
Ho5 Ho 0.4252 0.7861 0.1774
Ho6 Ho 0.5000 0.5000 0.5000
Ho7 Ho 0.5748 0.2139 0.8226
Ho8 Ho 0.7139 0.0748 0.3226
Ho9 Ho 0.7861 0.4252 0.8226
Ho10 Ho 0.9252 0.2861 0.3226
Co1 Co 0.1136 0.8864 0.3900
Co2 Co 0.3864 0.6136 0.8900
Co3 Co 0.6136 0.3864 0.1100
Co4 Co 0.8864 0.1136 0.6100
```

***

Entry 4:
The following is a DFT calculation (PBE-GGA) of a relaxed Y2HoCo6 crystal.

Computed properties:
Density of states at the Fermi level: 6.9 states/eV/f.u.
Space-group type: P6/mmm, No. 191
E_tot: -61.77 eV per cell
Calculated formation energy: -1.63 eV per formula unit

Structure (CIF):
```
data_Y2HoCo6
_cell_length_a 6.6559
_cell_length_b 6.6559
_cell_length_c 4.0428
_cell_angle_alpha 90.00
_cell_angle_beta 90.00
_cell_angle_gamma 120.00
_symmetry_space_group_name_H-M 'P 1'
_symmetry_Int_Tables_number 1
_symmetry_space_group_name_Hall 'P 1'
loop_
_atom_site_label
_atom_site_type_symbol
_atom_site_fract_x
_atom_site_fract_y
_atom_site_fract_z
Y1 Y 0.3333 0.6667 0.0000
Y2 Y 0.6667 0.3333 0.0000
Ho1 Ho 0.0000 0.0000 0.0000
Co1 Co 0.0000 0.3328 0.5000
Co2 Co 0.0000 0.6672 0.5000
Co3 Co 0.3328 0.0000 0.5000
Co4 Co 0.3328 0.3328 0.5000
Co5 Co 0.6672 0.0000 0.5000
Co6 Co 0.6672 0.6672 0.5000
```